P.
# Pa2Al3Au5

A geometry-optimized Pa2Al3Au5 structure (PBE-GGA, Alexandria).

a = 4.524 Å, b = 6.974 Å, c = 12.722 Å
α = 90.00°, β = 100.24°, γ = 90.00°
Last column: magnetic moment on the atom in μB.
Fractional coordinates of all 20 atoms:
Pa 0.486 0.722 0.973  0.32
Pa 0.174 0.753 0.348  -0.04
Pa 0.826 0.253 0.652  -0.04
Pa 0.514 0.222 0.027  0.32
Al 0.777 0.756 0.554  0.00
Al 0.608 0.525 0.215  0.00
Al 0.050 0.924 0.101  0.00
Al 0.223 0.256 0.446  0.00
Al 0.950 0.424 0.899  0.00
Al 0.392 0.025 0.785  0.00
Au 0.396 0.420 0.793  0.00
Au 0.289 0.547 0.578  0.00
Au 0.711 0.047 0.422  0.00
Au 0.118 0.213 0.237  0.00
Au 0.290 0.968 0.581  0.00
Au 0.948 0.037 0.896  0.00
Au 0.710 0.468 0.419  0.00
Au 0.882 0.713 0.763  0.00
Au 0.052 0.537 0.104  0.00
Au 0.604 0.920 0.207  0.00



Q.
# Pa2Al3Au5

A geometry-optimized Pa2Al3Au5 structure (PBE-GGA, Alexandria).

a = 6.111 Å, b = 8.667 Å, c = 8.667 Å
α = 78.45°, β = 69.35°, γ = 69.35°
Fractional coordinates of all 20 atoms:
Pa 0.133 0.596 0.138
Pa 0.633 0.138 0.596
Pa 0.867 0.404 0.862
Pa 0.367 0.862 0.404
Al 0.366 0.515 0.752
Al 0.866 0.752 0.515
Al 0.634 0.485 0.248
Al 0.134 0.248 0.485
Al 0.250 0.000 0.000
Al 0.750 0.000 0.000
Au 0.400 0.260 0.939
Au 0.900 0.939 0.260
Au 0.600 0.740 0.061
Au 0.100 0.061 0.740
Au 0.484 0.766 0.766
Au 0.516 0.234 0.234
Au 0.750 0.500 0.500
Au 0.250 0.500 0.500
Au 0.016 0.234 0.234
Au 0.984 0.766 0.766



P ends up most stable, edging out the next structure by 11 meV per atom.



P.
# PaAl3Au

A geometry-optimized PaAl3Au structure (PBE-GGA, Alexandria).

a = 4.507 Å, b = 7.090 Å, c = 6.670 Å
α = 106.14°, β = 90.00°, γ = 108.53°
Fractional coordinates of all 10 atoms:
Pa 0.864 0.728 0.022
Pa 0.136 0.272 0.978
Al 0.079 0.157 0.415
Al 0.921 0.843 0.585
Al 0.351 0.703 0.328
Al 0.649 0.297 0.672
Al 0.270 0.539 0.679
Al 0.730 0.461 0.321
Au 0.530 0.061 0.222
Au 0.470 0.939 0.778



Q.
# PaAl3Au

A geometry-optimized PaAl3Au structure (PBE-GGA, Alexandria).

a = 4.158 Å, b = 4.158 Å, c = 5.672 Å
α = 90.00°, β = 90.00°, γ = 90.00°
Last column: magnetic moment on the atom in μB.
Fractional coordinates of all 5 atoms:
Pa 0.500 0.500 0.834  0.63
Al 0.000 0.000 0.645  0.00
Al 0.500 0.000 0.355  0.00
Al 0.000 0.500 0.355  0.00
Au 0.000 0.000 0.076  0.01



Q ends up most stable, edging out the next structure by 33 meV per atom.